Density functional theory data (PBE) for an optimized crystal structure of CrCuRe2Os.

Results
energy relative to the elements = 1.784 eV/atom
DOS at the Fermi energy = 7.94 states/eV/f.u.

a = 4.428 Å, b = 4.428 Å, c = 4.428 Å
α = 90.00°, β = 90.00°, γ = 90.00°
Positions (direct):
Cr 0.000 0.000 0.000
Cu 0.500 0.500 0.500
Re 0.000 0.500 0.000
Re 0.500 0.000 0.000
Os 0.000 0.000 0.500